Entry 1:
A relaxed structure of AcNd9Y2. Source: the Alexandria database, functional PBE.

```
AcNd9Y2
1.0
5.2184 0.0000 0.0000
0.0000 5.2184 0.0000
0.0000 0.0000 15.6447
Ac Nd Y
1 9 2
Cartesian
0.0000 0.0000 0.0000
0.0000 2.6092 2.7054
0.0000 2.6092 7.8223
0.0000 2.6092 12.9392
2.6092 0.0000 2.7054
2.6092 0.0000 7.8223
2.6092 0.0000 12.9392
2.6092 2.6092 0.0000
2.6092 2.6092 5.2832
2.6092 2.6092 10.3615
0.0000 0.0000 5.2635
0.0000 0.0000 10.3811
```

Results
Electronic total energy = -4.974 eV/atom
Total magnetic moment = 0.0000 μB per atom
V = 35.5 Å³/atom
Density = 6638 kg/m³
Energy of formation = 0.3 eV per formula unit

---

Entry 2:
A relaxed structure of Tl2Sn2Pb5. Source: the Alexandria database, functional PBE.

```
Tl2Sn2Pb5
1.0
3.4772 0.0000 0.0000
-1.7386 3.0114 0.0000
0.0000 0.0000 26.2969
Tl Sn Pb
2 2 5
Cartesian
0.0000 0.0000 4.4585
0.0000 0.0000 21.8384
0.0000 2.0076 10.2545
1.7386 1.0038 16.0425
0.0000 0.0000 13.1485
0.0000 2.0076 1.4910
0.0000 2.0076 18.8631
1.7386 1.0038 7.4339
1.7386 1.0038 24.8059
```

Results
Polymorph energy (0 for the lowest one) = 0.00 eV/f.u.
Electronic total energy = -3.466 eV/atom
Total magnetic moment = 0.0000 μB per atom
V = 30.6 Å³/atom
Density = 10144 kg/m³
Energy of formation = 0.1 eV per formula unit

---

Entry 3:
A relaxed structure of Nd2MnNi9. Source: the Alexandria database, functional PBE.

```
Nd2MnNi9
1.0
2.4639 1.4226 8.2047
-2.4639 1.4226 8.2047
0.0000 -2.8451 8.2047
Nd Mn Ni
2 1 9
Cartesian
0.0000 0.0000 3.3142
0.0000 0.0000 21.2999
0.0000 0.0000 0.0000
-1.2302 -0.7102 10.1413
0.0000 0.0000 8.1939
0.0000 -1.4205 14.4728
-1.2302 0.7102 14.4728
0.0000 0.0000 12.3071
1.2302 -0.7102 10.1413
0.0000 1.4205 10.1413
0.0000 0.0000 16.4203
1.2302 0.7102 14.4728
```

Results
Electronic total energy = -6.013 eV/atom
Total magnetic moment = 0.5667 μB per atom
V = 14.4 Å³/atom
Density = 8389 kg/m³
Energy of formation = -1.4 eV per formula unit

---

Entry 4:
A relaxed structure of Ac3Ag3SnS8. Source: the Alexandria database, functional PBE.

```
Ac3Ag3SnS8
1.0
6.5335 -4.3074 0.0000
6.5335 4.3074 0.0000
-3.7247 0.0000 6.8996
Ac Ag Sn S
3 3 1 8
Cartesian
0.0000 0.0000 0.0000
1.4044 2.1537 3.4498
1.4044 -2.1537 3.4498
3.2668 2.1537 0.0000
3.2668 -2.1537 0.0000
4.6712 0.0000 3.4498
6.5335 0.0000 0.0000
2.3289 0.0000 1.7346
0.6157 0.0000 5.4452
5.5693 1.8860 1.5652
3.7731 1.8860 5.3344
5.5693 -1.8860 1.5652
3.7731 -1.8860 5.3344
8.7266 0.0000 1.4544
7.0134 0.0000 5.1650
```

Results
Electronic total energy = -4.945 eV/atom
Total magnetic moment = 0.0000 μB per atom
E_form (uncorrected) = -16.3 eV/f.u.
V = 25.9 Å³/atom
Density = 5900 kg/m³

---

Entry 5:
A relaxed structure of TbZrAl. Source: the Alexandria database, functional PBE.

```
TbZrAl
1.0
3.3097 0.0000 0.0000
0.0000 4.0025 0.0000
0.0000 0.0000 10.7712
Tb Zr Al
2 2 2
Cartesian
0.8274 1.0006 1.2474
2.4823 3.0019 9.5238
0.8274 1.0006 4.5010
2.4823 3.0019 6.2702
0.8274 1.0006 7.6551
2.4823 3.0019 3.1161
```

Results
Polymorph energy (0 for the lowest one) = 0.00 eV/f.u.
Electronic total energy = -5.885 eV/atom
Total magnetic moment = 0.0000 μB per atom
V = 23.8 Å³/atom
Density = 6450 kg/m³
Energy of formation = -0.7 eV per formula unit

---

Entry 6:
A relaxed structure of Cs5F4. Source: the Alexandria database, functional PBE.

```
Cs5F4
1.0
-6.3428 6.3428 2.3271
6.3428 -6.3428 2.3271
6.3428 6.3428 -2.3271
Cs F
5 4
Cartesian
0.0000 0.0000 0.0000
7.8077 2.7836 0.0000
2.7836 4.8779 0.0000
3.5592 1.4649 2.3271
-1.4649 3.5592 2.3271
10.5621 1.9925 0.0000
1.9925 2.1235 0.0000
4.3503 4.2193 2.3271
-4.2193 4.3503 2.3271
```

Results
Electronic total energy = -3.577 eV/atom
Total magnetic moment = 0.0004 μB per atom
E_form (uncorrected) = -20.4 eV/f.u.
V = 41.6 Å³/atom
Density = 3284 kg/m³

---

Entry 7:
A relaxed structure of Y3Pa2TaN6. Source: the Alexandria database, functional PBE.

```
Y3Pa2TaN6
1.0
2.9584 -5.1162 0.0000
2.9584 5.1162 0.0000
-1.9513 0.0000 5.6096
Y Pa Ta N
3 2 1 6
Cartesian
0.0000 0.0000 0.0000
2.9584 1.6754 0.0000
2.9584 -1.6754 0.0000
1.9828 3.4134 2.8048
1.9828 -3.4134 2.8048
1.9828 0.0000 2.8048
1.0172 1.6649 1.5175
0.0634 0.0000 4.1200
1.0172 -1.6649 1.5175
2.9483 1.6649 4.0921
3.9022 0.0000 1.4895
2.9483 -1.6649 4.0921
```

Results
Electronic total energy = -9.902 eV/atom
Total magnetic moment = 0.0000 μB per atom
E_form (uncorrected) = -18.6 eV/f.u.
V = 14.2 Å³/atom
Density = 9718 kg/m³

---

Entry 8:
A relaxed structure of CaNdCuAu. Source: the Alexandria database, functional PBE.

```
CaNdCuAu
1.0
4.5251 0.0000 0.0000
0.0000 2.0081 5.5180
0.0000 -2.0081 5.5180
Ca Nd Cu Au
1 1 1 1
Cartesian
0.0000 0.0000 0.0000
2.2626 0.0000 7.9430
0.0000 0.0000 3.1224
2.2626 0.0000 4.7771
```

Results
Polymorph energy (0 for the lowest one) = 0.00 eV/f.u.
Electronic total energy = -4.018 eV/atom
Total magnetic moment = 0.0000 μB per atom
V = 25.1 Å³/atom
Density = 7366 kg/m³
Energy of formation = -1.9 eV per formula unit

---

Entry 9:
A relaxed structure of PrYErCu. Source: the Alexandria database, functional PBE.

```
PrYErCu
1.0
3.5228 0.0000 0.0000
0.0000 3.5228 0.0000
0.0000 0.0000 8.7734
Pr Y Er Cu
1 1 1 1
Cartesian
0.0000 0.0000 0.0000
1.7614 1.7614 6.0304
1.7614 1.7614 2.6910
0.0000 0.0000 4.2965
```

Results
Electronic total energy = -5.081 eV/atom
Total magnetic moment = 0.0000 μB per atom
V = 27.2 Å³/atom
Density = 7025 kg/m³
Energy of formation = -0.4 eV per formula unit

---

Entry 10:
A relaxed structure of LiVGe. Source: the Alexandria database, functional PBE.

```
LiVGe
1.0
3.6945 0.0000 0.0000
0.0000 3.6945 0.0000
0.0000 0.0000 6.9443
Li V Ge
2 2 2
Cartesian
0.9236 0.9236 1.0550
2.7709 2.7709 5.8893
0.9236 2.7709 3.4722
2.7709 0.9236 3.4722
0.9236 0.9236 5.2735
2.7709 2.7709 1.6708
```

Results
Electronic total energy = -5.336 eV/atom
Total magnetic moment = 0.0000 μB per atom
V = 15.8 Å³/atom
Density = 4573 kg/m³
Energy of formation = -0.4 eV per formula unit

---

Entry 11:
A relaxed structure of ThVSi2. Source: the Alexandria database, functional PBE.

```
ThVSi2
1.0
3.3163 0.0000 0.0000
0.0000 3.3163 0.0000
0.0000 0.0000 6.5188
Th V Si
1 1 2
Cartesian
0.0000 0.0000 0.0000
0.0000 0.0000 3.2594
1.6582 1.6582 2.0561
1.6582 1.6582 4.4627
```

Results
Polymorph energy (0 for the lowest one) = 1.20 eV/f.u.
Electronic total energy = -7.151 eV/atom
Total magnetic moment = 0.0010 μB per atom
E_form (uncorrected) = -1.2 eV/f.u.
V = 17.9 Å³/atom
Density = 7855 kg/m³

---

Entry 12:
A relaxed structure of TaTlBr2. Source: the Alexandria database, functional PBE.

```
TaTlBr2
1.0
1.6640 0.9607 11.3116
-1.6640 0.9607 11.3116
0.0000 -1.9214 11.3116
Ta Tl Br
1 1 2
Cartesian
0.0000 0.0000 0.0000
0.0000 0.0000 16.9674
0.0000 0.0000 13.2052
0.0000 0.0000 20.7296
```

Results
Polymorph energy (0 for the lowest one) = 0.00 eV/f.u.
Electronic total energy = -4.596 eV/atom
Total magnetic moment = 0.0000 μB per atom
E_form (uncorrected) = -0.8 eV/f.u.
V = 27.1 Å³/atom
Density = 8343 kg/m³